This record from Alexandria describes a relaxed AlIrPt2 crystal. The functional is GGA-PBE.

Cell: 5.3691 5.3691 5.3691 Å, 149.58 129.49 60.11°
With the nearest neighbours (Å) after each atom.
Sites, in units of the cell vectors:
Ir 0.2727 0.7727 0.5000  2 Al 2.52, 4 Pt 2.72, 2 Ir 2.82
Al 0.4980 0.4980 0.0000  2 Ir 2.52, 6 Pt 2.55-2.69, 2 Al 2.82
Pt 0.0022 0.0022 0.0000  4 Al 2.69, 4 Pt 2.82-2.92, 2 Ir 2.88
Pt 0.7271 0.2271 0.5000  2 Al 2.55, 4 Ir 2.72, 2 Pt 2.82

The value obtained for the formation energy is -438 meV per atom. The electronic total energy is -26.438 eV per cell.



This record from Alexandria describes a relaxed AlIr2Pt crystal. The functional is GGA-PBE.

Cell: 3.8280 2.7911 6.1753 Å, 63.18 90.00 90.00°
With the nearest neighbours (Å) after each atom.
Sites, in units of the cell vectors:
Ir 0.0000 0.9880 0.0110  6 Ir 2.66-2.79, 2 Pt 2.75-2.76, 4 Al 2.78-2.79
Ir 0.5000 0.2673 0.2324  6 Ir 2.66-2.79, 2 Al 2.68-2.83, 4 Pt 2.82
Al 0.5000 0.7543 0.7462  6 Ir 2.68-2.83, 4 Pt 2.70, 2 Al 2.79
Pt 0.0000 0.4904 0.5105  4 Al 2.70, 6 Ir 2.75-2.82, 2 Pt 2.79

The value obtained for the formation energy is -368 meV per atom. The electronic total energy is -28.978 eV per cell.



This record from Alexandria describes a relaxed Al5Ir4Pt crystal. The functional is GGA-PBE.

Cell: 2.9360 2.9360 16.2235 Å, 90.00 90.00 90.00°
With the nearest neighbours (Å) after each atom.
Sites, in units of the cell vectors:
Al 0.5000 0.5000 0.1077  4 Ir 2.62, 4 Pt 2.71, 4 Al 2.94
Al 0.5000 0.5000 0.3046  8 Ir 2.62
Al 0.5000 0.5000 0.5000  8 Ir 2.61
Al 0.5000 0.5000 0.6954  8 Ir 2.62
Al 0.5000 0.5000 0.8923  4 Ir 2.62, 4 Pt 2.71, 4 Al 2.94
Ir 0.0000 0.0000 0.2064  8 Al 2.62
Ir 0.0000 0.0000 0.4029  8 Al 2.61-2.62
Ir 0.0000 0.0000 0.5971  8 Al 2.61-2.62
Ir 0.0000 0.0000 0.7936  8 Al 2.62
Pt 0.0000 0.0000 0.0000  8 Al 2.71, 4 Pt 2.94

The value obtained for the formation energy is -944 meV per atom. The electronic total energy is -69.637 eV per cell.